Here is crystalline KMgTlCu2 at its relaxed geometry from Alexandria via LeMat-Bulk. Energies are from PBEsol.

abc: 4.986 4.986 5.868
angles: 90.00 90.00 90.00
Fractional coordinates of all 5 atoms:
Mg1 0.500 0.500 0.500
Tl1 0.000 0.000 0.000
K1 0.000 0.000 0.500
Cu1 0.000 0.500 0.000
Cu2 0.500 0.000 0.000

Results
Formation enthalpy at 0 K ... 764 meV/atom
Total magnetization ... 0.00 μB per formula unit

***

Here is crystalline Mn2IrRh at its relaxed geometry from Alexandria via LeMat-Bulk. Energies are from PBEsol.

abc: 2.619 3.917 4.896
angles: 90.00 105.52 90.00
Fractional coordinates of all 4 atoms:
Ir1 0.418 0.500 0.836
Mn1 0.813 0.000 0.625
Mn2 0.688 0.500 0.376
Rh1 0.081 0.000 0.161

Results
Formation enthalpy at 0 K ... -84 meV/atom
Total magnetization ... 0.00 μB per formula unit

***

| no. | total energy (eV per atom) |
| --- | --- |
| 1 | -2.066 |
| 2 | -9.455 |